# PBE PaRu3, optimized geometry
# - VASP energy (eV per atom) = -9.704
# - energy of formation from the pure elements (eV/atom) = -0.37
# - magnetization (Bohr magnetons per cell) = 0.000
# - theoretical density (g/cm³) = 13.43
# - space group = Pm-3m
# - N(E_F) (states/eV/f.u.) = 3.22
data_PaRu3
_chemical_formula_sum 'Pa1 Ru3'
_space_group_name_H-M_alt 'P 1'
_space_group_IT_number 1
_cell_length_a 4.042
_cell_length_b 4.042
_cell_length_c 4.042
_cell_angle_alpha 90.00
_cell_angle_beta 90.00
_cell_angle_gamma 90.00
loop_
_space_group_symop_operation_xyz
'x,y,z'
loop_
_atom_site_label
_atom_site_type_symbol
_atom_site_fract_x
_atom_site_fract_y
_atom_site_fract_z
_atom_site_occupancy
Pa1 Pa 0.000 0.000 0.000 1
Ru1 Ru 0.000 0.500 0.500 1
Ru2 Ru 0.500 0.000 0.500 1
Ru3 Ru 0.500 0.500 0.000 1